[1]
## Tb3Ga4Pd7 (PBE-GGA)

Data for a relaxed Tb3Ga4Pd7 crystal.

Summary:
Formation enthalpy at 0 K: -0.85 eV/atom
Space group: C2/m, No. 12
ρ: 9.79 g/cm³
Total DFT energy (no corrections): -5.306 eV/atom

abc: 8.0959 8.0959 9.5838
angles: 123.84 123.84 29.72
Last column: nearest neighbours and their distance in Å.
Atoms (fractional coordinates):
Tb (0.0000, 0.0000, 0.0000)  6 Ga 2.97-3.15
Tb (0.3270, 0.3270, 0.3339)  9 Pd 3.03-3.17, 4 Ga 3.09
Tb (0.6730, 0.6730, 0.6661)  9 Pd 3.03-3.17, 4 Ga 3.09
Ga (0.1136, 0.1136, 0.8361)  6 Pd 2.55-2.63
Ga (0.3378, 0.3378, 0.7288)  5 Pd 2.52-2.62
Ga (0.6622, 0.6622, 0.2712)  5 Pd 2.52-2.62
Ga (0.8864, 0.8864, 0.1639)  6 Pd 2.55-2.63
Pd (0.0000, 0.0000, 0.5000)  2 Ga 2.63
Pd (0.1618, 0.1618, 0.4246)  3 Ga 2.55-2.62
Pd (0.3081, 0.3081, 0.9612)  4 Ga 2.52-2.62
Pd (0.4950, 0.4950, 0.7141)  3 Ga 2.54-2.57
Pd (0.5050, 0.5050, 0.2859)  3 Ga 2.54-2.57
Pd (0.6919, 0.6919, 0.0388)  4 Ga 2.52-2.62
Pd (0.8382, 0.8382, 0.5754)  3 Ga 2.55-2.62



[2]
## CaCd2AgAu (PBE-GGA)

Data for a relaxed CaCd2AgAu crystal.

Summary:
Formation enthalpy at 0 K: 0.59 eV/atom
Space group: P4/mmm, No. 123
ρ: 4.87 g/cm³
Total DFT energy (no corrections): -1.401 eV/atom

abc: 6.0087 6.0087 5.3795
angles: 90.00 90.00 90.00
Last column: nearest neighbours and their distance in Å.
Atoms (fractional coordinates):
Ca (0.0000, 0.0000, 0.0000)  2 Au 2.69, 4 Cd 3.00
Cd (0.0000, 0.5000, 0.0000)  2 Ca 3.00
Cd (0.5000, 0.0000, 0.0000)  2 Ca 3.00
Ag (0.5000, 0.5000, 0.5000)  8 Cd 4.03, 4 Au 4.25
Au (0.0000, 0.0000, 0.5000)  2 Ca 2.69



[3]
## Zn3Te2 (PBE-GGA)

Data for a relaxed Zn3Te2 crystal.

Summary:
Space group: R-3m, No. 166
ρ: 6.48 g/cm³
Formation energy from raw total energies: -0.063 eV/atom
Total DFT energy (no corrections): -2.084 eV/atom

abc: 4.0917 4.0917 23.9245
angles: 90.00 90.00 120.00
Last column: nearest neighbours and their distance in Å.
Atoms (fractional coordinates):
Zn (0.0000, 0.0000, 0.0000)  6 Te 2.90
Zn (0.0000, 0.0000, 0.1985)  3 Zn 2.81, 3 Te 2.83
Zn (0.0000, 0.0000, 0.8015)  3 Zn 2.81, 3 Te 2.83
Zn (0.3333, 0.6667, 0.4682)  3 Zn 2.81, 3 Te 2.83
Zn (0.3333, 0.6667, 0.6667)  6 Te 2.90
Zn (0.3333, 0.6667, 0.8651)  3 Zn 2.81, 3 Te 2.83
Zn (0.6667, 0.3333, 0.1349)  3 Zn 2.81, 3 Te 2.83
Zn (0.6667, 0.3333, 0.3333)  6 Te 2.90
Zn (0.6667, 0.3333, 0.5318)  3 Zn 2.81, 3 Te 2.83
Te (0.0000, 0.0000, 0.4035)  6 Zn 2.83-2.90
Te (0.0000, 0.0000, 0.5965)  6 Zn 2.83-2.90
Te (0.3333, 0.6667, 0.0701)  6 Zn 2.83-2.90
Te (0.3333, 0.6667, 0.2632)  6 Zn 2.83-2.90
Te (0.6667, 0.3333, 0.7368)  6 Zn 2.83-2.90
Te (0.6667, 0.3333, 0.9299)  6 Zn 2.83-2.90



[4]
## LiTcAs (PBE-GGA)

Data for a relaxed LiTcAs crystal.

Summary:
Formation enthalpy at 0 K: 0.15 eV/atom
Space group: Fmm2, No. 42
ρ: 6.17 g/cm³
Energy above the most stable polymorph in this dataset: 52.1 kJ/mol of atoms
Total DFT energy (no corrections): -5.496 eV/atom

abc: 3.1926 4.7572 12.7540
angles: 90.00 90.00 90.00
Last column: nearest neighbours and their distance in Å.
Atoms (fractional coordinates):
Li (0.0000, 0.0000, 0.0000)  2 Tc 2.75, 2 As 2.78, 4 Li 2.86
Li (0.0000, 0.5000, 0.5000)  2 Tc 2.75, 2 As 2.78, 4 Li 2.86
Li (0.5000, 0.0000, 0.5000)  2 Tc 2.75, 2 As 2.78, 4 Li 2.86
Li (0.5000, 0.5000, 0.0000)  2 Tc 2.75, 2 As 2.78, 4 Li 2.86
Tc (0.0000, 0.0000, 0.6752)  2 As 2.45, 2 Li 2.75
Tc (0.0000, 0.5000, 0.1752)  2 As 2.45, 2 Li 2.75
Tc (0.5000, 0.0000, 0.1752)  2 As 2.45, 2 Li 2.75
Tc (0.5000, 0.5000, 0.6752)  2 As 2.45, 2 Li 2.75
As (0.0000, 0.0000, 0.3212)  2 Tc 2.45
As (0.0000, 0.5000, 0.8212)  2 Tc 2.45
As (0.5000, 0.0000, 0.8212)  2 Tc 2.45
As (0.5000, 0.5000, 0.3212)  2 Tc 2.45



[5]
## TaPOs2 (PBE-GGA)

Data for a relaxed TaPOs2 crystal.

Summary:
Formation enthalpy at 0 K: 0.32 eV/atom
Space group: F-43m, No. 216
ρ: 16.36 g/cm³
Total DFT energy (no corrections): -9.608 eV/atom

abc: 6.2185 6.2185 6.2185
angles: 90.00 90.00 90.00
Last column: nearest neighbours and their distance in Å.
Atoms (fractional coordinates):
Ta (0.0000, 0.0000, 0.0000)  4 Os 2.69, 4 P 2.69
Ta (0.0000, 0.5000, 0.5000)  4 Os 2.69, 4 P 2.69
Ta (0.5000, 0.0000, 0.5000)  4 Os 2.69, 4 P 2.69
Ta (0.5000, 0.5000, 0.0000)  4 Os 2.69, 4 P 2.69
P (0.2500, 0.2500, 0.2500)  4 Ta 2.69, 4 Os 2.69
P (0.2500, 0.7500, 0.7500)  4 Ta 2.69, 4 Os 2.69
P (0.7500, 0.2500, 0.7500)  4 Ta 2.69, 4 Os 2.69
P (0.7500, 0.7500, 0.2500)  4 Ta 2.69, 4 Os 2.69
Os (0.0000, 0.0000, 0.5000)  4 Os 2.69, 4 P 2.69
Os (0.0000, 0.5000, 0.0000)  4 Os 2.69, 4 P 2.69
Os (0.2500, 0.2500, 0.7500)  4 Ta 2.69, 4 Os 2.69
Os (0.2500, 0.7500, 0.2500)  4 Ta 2.69, 4 Os 2.69
Os (0.5000, 0.0000, 0.0000)  4 Os 2.69, 4 P 2.69
Os (0.5000, 0.5000, 0.5000)  4 Os 2.69, 4 P 2.69
Os (0.7500, 0.2500, 0.2500)  4 Ta 2.69, 4 Os 2.69
Os (0.7500, 0.7500, 0.7500)  4 Ta 2.69, 4 Os 2.69



[6]
## KMn2Ir (PBE-GGA)

Data for a relaxed KMn2Ir crystal.

Summary:
Formation enthalpy at 0 K: 1.11 eV/atom
Space group: I-4m2, No. 119
ρ: 7.40 g/cm³
Energy above the most stable polymorph in this dataset: 59.9 kJ/mol of atoms
Total DFT energy (no corrections): -5.960 eV/atom

abc: 5.0279 5.0279 6.0548
angles: 90.00 90.00 90.00
Last column: nearest neighbours and their distance in Å.
Atoms (fractional coordinates):
K (0.0000, 0.0000, 0.0000)  6 Mn 2.93-3.03, 4 Ir 2.93
K (0.5000, 0.5000, 0.5000)  6 Mn 2.93-3.03, 4 Ir 2.93
Mn (0.0000, 0.0000, 0.5000)  4 Mn 2.93, 4 Ir 2.93, 2 K 3.03
Mn (0.0000, 0.5000, 0.7500)  4 Mn 2.93, 4 K 2.93, 2 Ir 3.03
Mn (0.5000, 0.0000, 0.2500)  4 Mn 2.93, 4 K 2.93, 2 Ir 3.03
Mn (0.5000, 0.5000, 0.0000)  4 Mn 2.93, 4 Ir 2.93, 2 K 3.03
Ir (0.0000, 0.5000, 0.2500)  6 Mn 2.93-3.03, 4 K 2.93
Ir (0.5000, 0.0000, 0.7500)  6 Mn 2.93-3.03, 4 K 2.93



Record order is preserved below.
Fermi-level density of states: 5.33, 1.75, 6.85, 13.13, 19.62, 7.72 states/eV/cell